No. 1
YBe2Pt6: optimized geometry, PBE.

It has space group Fd-3m (No. 227, origin choice 2), with a = 10.836 Å, b = 10.836 Å, c = 10.836 Å, α = 90.00°, β = 90.00° and γ = 90.00°. The asymmetric unit holds Y at (0.125, 0.125, 0.125), Be at (0.000, 0.000, 0.500) and Pt at (0.114, 0.375, 0.875).

As for the formation energy: -466 meV/atom. The total energy is -434.833 eV per cell. As for the theoretical density: 13.336 Mg/m³.


No. 2
Ag2HgI2F2: optimized geometry, PBE.

It has space group C2/m (No. 12), with a = 13.883 Å, b = 4.276 Å, c = 6.532 Å, α = 90.00°, β = 114.34° and γ = 90.00°. The asymmetric unit holds Ag at (0.244, 0.000, 0.219), Hg at (0.000, 0.000, 0.500), I at (0.105, 0.500, 0.332) and F at (0.162, 0.000, 0.835).

For the uncorrected formation energy, the calculation gives -0.70 eV per atom. The total energy is -35.532 eV per cell. As for the theoretical density: 6.657 Mg/m³.


No. 3
Nb3SiNi: optimized geometry, PBE.

It has space group Pm-3m (No. 221), with a = 4.577 Å, b = 4.577 Å, c = 4.577 Å, α = 90.00°, β = 90.00° and γ = 90.00°. The asymmetric unit holds Nb at (0.000, 0.000, 0.500), Si at (0.500, 0.500, 0.500) and Ni at (0.000, 0.000, 0.000).

For the uncorrected formation energy, the calculation gives 0.75 eV per atom. The total energy is -37.659 eV per cell. As for the theoretical density: 6.331 Mg/m³. Its energy above the most stable polymorph in this dataset is 0 meV/atom.


No. 4
Ho5AgRh2: optimized geometry, PBE.

It has space group I4/mcm (No. 140), with a = 7.675 Å, b = 7.675 Å, c = 13.280 Å, α = 90.00°, β = 90.00° and γ = 90.00°. The asymmetric unit holds Ho at (0.000, 0.000, 0.000), Ho at (0.160, 0.340, 0.137), Ag at (0.000, 0.000, 0.250) and Rh at (0.140, 0.360, 0.500).

As for the formation energy: -599 meV/atom. The total energy is -180.951 eV per cell. As for the theoretical density: 9.665 Mg/m³.


No. 5
LiMnAg2Cl6: optimized geometry, PBE.

It has space group P1 (No. 1), with a = 6.529 Å, b = 6.617 Å, c = 6.772 Å, α = 67.32°, β = 64.08° and γ = 73.93°. The asymmetric unit holds Li at (0.000, 0.000, 0.000), Mn at (0.642, 0.331, 0.540), Ag at (0.318, 0.315, 0.175), Ag at (0.988, 0.639, 0.737), Cl at (0.359, 0.100, 0.902), Cl at (0.365, 0.576, 0.412), Cl at (0.631, 0.560, 0.727), Cl at (0.674, 0.132, 0.307), Cl at (0.961, 0.107, 0.613) and Cl at (0.964, 0.615, 0.130).

For the uncorrected formation energy, the calculation gives -0.90 eV per atom. The total energy is -36.901 eV per cell. As for the theoretical density: 3.382 Mg/m³.


No. 6
ErTiFe2: optimized geometry, PBE.

It has space group P4/mmm (No. 123), with a = 3.099 Å, b = 3.099 Å, c = 6.364 Å, α = 90.00°, β = 90.00° and γ = 90.00°. The asymmetric unit holds Er at (0.000, 0.000, 0.000), Ti at (0.000, 0.000, 0.500) and Fe at (0.500, 0.500, 0.287).

As for the formation energy: -65 meV/atom. The total energy is -29.645 eV per cell. As for the theoretical density: 8.878 Mg/m³.


No. 7
KRb2MgI6: optimized geometry, PBE.

It has space group Fm-3m (No. 225), with a = 12.472 Å, b = 12.472 Å, c = 12.472 Å, α = 90.00°, β = 90.00° and γ = 90.00°. The asymmetric unit holds K at (0.000, 0.000, 0.000), Rb at (0.250, 0.250, 0.250), Mg at (0.000, 0.000, 0.500) and I at (0.000, 0.000, 0.268).

For the uncorrected formation energy, the calculation gives -1.08 eV per atom. The total energy is -98.979 eV per cell. As for the theoretical density: 3.409 Mg/m³.


No. 8
Pr2Sm4Dy5: optimized geometry, PBE.

It has space group C2/m (No. 12), with a = 11.534 Å, b = 6.785 Å, c = 11.054 Å, α = 90.00°, β = 119.86° and γ = 90.00°. The asymmetric unit holds Pr at (0.028, 0.000, 0.267), Sm at (0.024, 0.500, 0.307), Sm at (0.200, 0.000, 0.061), Dy at (0.000, 0.500, 0.000) and Dy at (0.179, 0.242, 0.616).

As for the formation energy: 182 meV/atom. The total energy is -98.895 eV per cell. As for the theoretical density: 7.507 Mg/m³. Its energy above the most stable polymorph in this dataset is 37 meV/atom.


No. 9
Np2Al3ZnAu4: optimized geometry, PBE.

It has space group P-4m2 (No. 115), with a = 4.349 Å, b = 4.349 Å, c = 10.648 Å, α = 90.00°, β = 90.00° and γ = 90.00°. The asymmetric unit holds Np at (0.000, 0.500, 0.249), Al at (0.000, 0.000, 0.000), Al at (0.000, 0.500, 0.632), Zn at (0.500, 0.500, 0.000), Au at (0.000, 0.000, 0.500), Au at (0.000, 0.500, 0.864) and Au at (0.500, 0.500, 0.500).

As for the formation energy: -271 meV/atom. The total energy is -54.202 eV per cell. As for the theoretical density: 11.610 Mg/m³.


No. 10
Ti5NO: optimized geometry, PBE.

It has space group C2/c (No. 15), with a = 8.138 Å, b = 6.862 Å, c = 8.134 Å, α = 90.00°, β = 117.66° and γ = 90.00°. The asymmetric unit holds Ti at (0.000, 0.247, 0.250), Ti at (0.100, 0.257, 0.649), Ti at (0.248, 0.452, 0.011), N at (0.250, 0.250, 0.500) and O at (0.000, 0.050, 0.750).

For the uncorrected formation energy, the calculation gives -1.06 eV per atom. The total energy is -240.752 eV per cell. As for the theoretical density: 4.447 Mg/m³.


No. 11
NaZn3Pd2: optimized geometry, PBE.

It has space group Cmcm (No. 63), with a = 9.716 Å, b = 8.340 Å, c = 5.651 Å, α = 90.00°, β = 90.00° and γ = 90.00°. The asymmetric unit holds Na at (0.000, 0.125, 0.250), Zn at (0.000, 0.473, 0.750), Zn at (0.206, 0.239, 0.750) and Pd at (0.220, 0.500, 0.000).

As for the formation energy: -342 meV/atom. The total energy is -70.320 eV per cell. As for the theoretical density: 6.267 Mg/m³.


No. 12
CoHg2BiMo: optimized geometry, PBE.

It has space group P4/mmm (No. 123), with a = 5.337 Å, b = 5.337 Å, c = 4.425 Å, α = 90.00°, β = 90.00° and γ = 90.00°. The asymmetric unit holds Co at (0.000, 0.000, 0.000), Hg at (0.000, 0.500, 0.500), Bi at (0.500, 0.500, 0.000) and Mo at (0.000, 0.000, 0.500).

As for the formation energy: 1096 meV/atom. The total energy is -16.941 eV per cell. As for the theoretical density: 10.080 Mg/m³.


No. 13
Hf2ReIrCl: optimized geometry, PBE.

It has space group P4/mmm (No. 123), with a = 5.104 Å, b = 5.104 Å, c = 4.300 Å, α = 90.00°, β = 90.00° and γ = 90.00°. The asymmetric unit holds Hf at (0.000, 0.500, 0.000), Re at (0.000, 0.000, 0.000), Ir at (0.500, 0.500, 0.500) and Cl at (0.000, 0.000, 0.500).

For the uncorrected formation energy, the calculation gives 0.98 eV per atom. The total energy is -38.178 eV per cell. As for the theoretical density: 11.430 Mg/m³.


No. 14
SmZrHgAu: optimized geometry, PBE.

It has space group F-43m (No. 216), with a = 7.227 Å, b = 7.227 Å, c = 7.227 Å, α = 90.00°, β = 90.00° and γ = 90.00°. The asymmetric unit holds Sm at (0.000, 0.000, 0.000), Zr at (0.000, 0.000, 0.500), Hg at (0.250, 0.250, 0.250) and Au at (0.250, 0.250, 0.750).

As for the formation energy: -371 meV/atom. The total energy is -73.317 eV per cell. As for the theoretical density: 11.245 Mg/m³.


No. 15
BeTcO2: optimized geometry, PBE.

It has space group I-42d (No. 122), with a = 4.423 Å, b = 4.423 Å, c = 7.815 Å, α = 90.00°, β = 90.00° and γ = 90.00°. The asymmetric unit holds Be at (0.000, 0.000, 0.000), Tc at (0.000, 0.000, 0.500) and O at (0.160, 0.250, 0.125).

For the uncorrected formation energy, the calculation gives -1.32 eV per atom. The total energy is -117.137 eV per cell. As for the theoretical density: 6.039 Mg/m³. Its energy above the most stable polymorph in this dataset is 91 meV/atom.


No. 16
RbMg3Mo: optimized geometry, PBE.

It has space group Pm-3m (No. 221), with a = 5.519 Å, b = 5.519 Å, c = 5.519 Å, α = 90.00°, β = 90.00° and γ = 90.00°. The asymmetric unit holds Rb at (0.000, 0.000, 0.000), Mg at (0.000, 0.500, 0.500) and Mo at (0.500, 0.500, 0.500).

As for the formation energy: 784 meV/atom. The total energy is -12.664 eV per cell. As for the theoretical density: 2.512 Mg/m³. Its energy above the most stable polymorph in this dataset is 0 meV/atom.


No. 17
PuAgGePb: optimized geometry, PBE.

It has space group F-43m (No. 216), with a = 7.254 Å, b = 7.254 Å, c = 7.254 Å, α = 90.00°, β = 90.00° and γ = 90.00°. The asymmetric unit holds Pu at (0.000, 0.000, 0.000), Ag at (0.250, 0.250, 0.750), Ge at (0.250, 0.250, 0.250) and Pb at (0.000, 0.000, 0.500).

As for the formation energy: -4 meV/atom. The total energy is -102.097 eV per cell. As for the theoretical density: 10.994 Mg/m³.


No. 18
CsLiUSe4: optimized geometry, PBE.

It has space group P2_1/m (No. 11), with a = 7.256 Å, b = 5.687 Å, c = 10.193 Å, α = 90.00°, β = 106.70° and γ = 90.00°. The asymmetric unit holds Cs at (0.237, 0.250, 0.047), Li at (0.266, 0.750, 0.327), U at (0.267, 0.250, 0.555), Se at (0.014, 0.511, 0.682), Se at (0.432, 0.750, 0.575) and Se at (0.491, 0.750, 0.190).

For the uncorrected formation energy, the calculation gives -1.08 eV per atom. The total energy is -71.047 eV per cell. As for the theoretical density: 5.718 Mg/m³.


No. 19
Re2TcCl: optimized geometry, PBE.

It has space group P4mm (No. 99), with a = 2.870 Å, b = 2.870 Å, c = 7.282 Å, α = 90.00°, β = 90.00° and γ = 90.00°. The asymmetric unit holds Re at (0.000, 0.000, 0.000), Re at (0.500, 0.500, 0.239), Tc at (0.000, 0.000, 0.493) and Cl at (0.500, 0.500, 0.736).

For the uncorrected formation energy, the calculation gives 0.48 eV per atom. The total energy is -35.176 eV per cell. As for the theoretical density: 14.004 Mg/m³. Its energy above the most stable polymorph in this dataset is 154 meV/atom.


No. 20
Te4As2I3: optimized geometry, PBE.

It has space group C2/c (No. 15), with a = 13.970 Å, b = 12.244 Å, c = 9.333 Å, α = 90.00°, β = 94.77° and γ = 90.00°. The asymmetric unit holds Te at (0.123, 0.193, 0.449), Te at (0.179, 0.452, 0.896), As at (0.201, 0.372, 0.571), I at (0.000, 0.436, 0.250) and I at (0.147, 0.113, 0.941).

For the uncorrected formation energy, the calculation gives 0.03 eV per atom. The total energy is -104.806 eV per cell. As for the theoretical density: 4.346 Mg/m³.